[1]
This record from Alexandria via LeMat-Bulk describes crystalline Tl2TeBr4Cl2 at its relaxed geometry. The functional is PBE.

Density in g cm⁻³: 4.92

Unit cell a=7.551 b=7.551 c=7.717 alpha=120.20 beta=120.20 gamma=61.09
Fractional coordinates of all 9 atoms:
1 Tl 0.250 0.250 0.245
2 Tl 0.750 0.750 0.755
3 Te 0.500 0.500 0.000
4 Br 0.206 0.710 0.204
5 Br 0.290 0.794 0.796
6 Br 0.710 0.206 0.204
7 Br 0.794 0.290 0.796
8 Cl 0.264 0.264 0.689
9 Cl 0.736 0.736 0.311



[2]
This record from Alexandria via LeMat-Bulk describes crystalline Hf2AgN at its relaxed geometry. The functional is PBE.

Density in g cm⁻³: 12.19

Unit cell a=7.439 b=7.439 c=7.439 alpha=25.11 beta=25.11 gamma=25.11
Fractional coordinates of all 4 atoms:
1 Hf 0.224 0.224 0.224
2 Hf 0.776 0.776 0.776
3 Ag 0.000 0.000 0.000
4 N 0.500 0.500 0.500



Energy relative to the elements, uncorrected for every record listed, in sequence, given in eV/atom: -0.68, -0.88.
Calculated volume for every record listed, in sequence, given in Å³ per atom: 34.7, 16.3.
Total magnetization for every record listed, in sequence, given in μB/atom: 0.000, 0.000.